Record 1
DFT (GGA-PBEsol) results for InPtCl4 after structural relaxation.

Geometry as POSCAR:
```
InPtCl4
1.0
5.6125 0.0000 0.0000
2.8062 4.8606 0.0000
2.8062 1.6202 4.5826
Cl In Pt
4 1 1
direct
0.3741 0.3741 0.3741
0.8777 0.3741 0.3741
0.3741 0.3741 0.8777
0.3741 0.8777 0.3741
0.7500 0.7500 0.7500
0.0000 0.0000 0.0000
```

Computed properties:
Uncorrected energy, eV/atom: -2.23
ΔE_f (raw), eV per formula unit: 4.6
Symmetry: F-43m, No. 216
N(E_F), states/eV/atom: 1.1855

---

Record 2
DFT (GGA-PBEsol) results for InSiOs2 after structural relaxation.

Geometry as POSCAR:
```
InSiOs2
1.0
3.0797 0.0000 0.0000
0.0000 4.3561 0.0000
0.0000 0.0000 4.3561
Os In Si
2 1 1
direct
0.0000 0.0000 0.5000
0.0000 0.5000 0.0000
0.5000 0.0000 0.0000
0.5000 0.5000 0.5000
```

Computed properties:
Uncorrected energy, eV/atom: -8.02
ΔE_f (raw), eV per formula unit: 1.1
Symmetry: P4/mmm, No. 123
Relative energy among the computed polymorphs, meV/atom: 82
N(E_F), states/eV/atom: 0.7932